NbNiF3: relaxed, PBE+U.

Cell and atoms, written as extended XYZ:
```
5
Lattice="4.022 0.000 0.000 0.000 4.022 0.000 0.000 0.000 4.022" Properties=species:S:1:pos:R:3 pbc="T T T"
Nb 0.000 0.000 0.000
Ni 2.011 2.011 2.011
F 0.000 2.011 2.011
F 2.011 0.000 2.011
F 2.011 2.011 0.000
```

Density in g/cm3: 5.32
Electronic total energy in eV for the cell shown: -21.1
Relative energy among the computed polymorphs in meV per atom: 399.8
Space group: Pm-3m, No. 221